Entry 1:
Here is a relaxed CaPtSe2Br crystal from Alexandria. Energies are from PBE.

Structure (POSCAR):
```
CaPtSe2Br
1.0
5.4983 0.0000 0.0000
0.0000 5.4983 0.0000
0.0000 0.0000 5.3192
Ca Pt Se Br
1 1 2 1
Direct
0.0000 0.0000 0.0000 Ca
0.5000 0.5000 0.5000 Pt
0.0000 0.5000 0.0000 Se
0.5000 0.0000 0.0000 Se
0.0000 0.0000 0.5000 Br
```

volume: 32.16 Å³ per atom
magnetic moment: 0.439 μB per atom
energy relative to the elements, uncorrected: 441 meV/atom
mass density: 4.884 Mg/m³
space group: P4/mmm, No. 123
energy above the lowest structure with this stoichiometry: 993 meV/atom

=====

Entry 2:
Here is a relaxed AgRu2Pb crystal from Alexandria. Energies are from PBE.

Structure (POSCAR):
```
AgRu2Pb
1.0
-2.0859 2.0859 3.9457
2.0859 -2.0859 3.9457
2.0859 2.0859 -3.9457
Ag Ru Pb
1 2 1
Direct
0.0000 0.0000 0.0000 Ag
0.5000 0.5000 0.0000 Ru
0.7500 0.2500 0.5000 Ru
0.2500 0.7500 0.5000 Pb
```

volume: 17.17 Å³ per atom
magnetic moment: 0.223 μB per atom
mass density: 12.507 Mg/m³
E_form: 0.63 eV/atom
space group: I-4m2, No. 119

=====

Entry 3:
Here is a relaxed Sc4SiBr5 crystal from Alexandria. Energies are from PBE.

Structure (POSCAR):
```
Sc4SiBr5
1.0
9.7497 -1.9019 0.0000
9.7497 1.9019 0.0000
-0.0326 0.0000 7.9067
Sc Si Br
4 1 5
Direct
0.0001 0.0001 0.2205 Sc
0.9999 0.9999 0.7795 Sc
0.3734 0.3734 0.9989 Sc
0.6266 0.6266 0.0011 Sc
0.5000 0.5000 0.0000 Si
0.1499 0.1499 0.2428 Br
0.1498 0.1498 0.7597 Br
0.5000 0.5000 0.5000 Br
0.8502 0.8502 0.2403 Br
0.8501 0.8501 0.7572 Br
```

volume: 29.32 Å³ per atom
magnetic moment: 0.000 μB per atom
energy relative to the elements, uncorrected: -1323 meV/atom
mass density: 3.440 Mg/m³
space group: C2/m, No. 12

=====

Entry 4:
Here is a relaxed CaMg2Zn2Ag2 crystal from Alexandria. Energies are from PBE.

Structure (POSCAR):
```
CaMg2Zn2Ag2
1.0
2.2846 1.3190 8.2923
-2.2846 1.3190 8.2923
0.0000 -2.6380 8.2923
Ca Mg Zn Ag
1 2 2 2
Direct
0.0000 0.0000 0.0000 Ca
0.1331 0.1331 0.1331 Mg
0.8669 0.8669 0.8669 Mg
0.4143 0.4143 0.4143 Zn
0.5857 0.5857 0.5857 Zn
0.2491 0.2491 0.2491 Ag
0.7509 0.7509 0.7509 Ag
```

volume: 21.42 Å³ per atom
magnetic moment: 0.000 μB per atom
mass density: 4.821 Mg/m³
E_form: -0.19 eV/atom
space group: R-3m, No. 166